[1]
VASP calculation (PBE-GGA) on an optimized crystal structure of NdHoGaOs.

a b c (Å): 5.0038 5.0038 5.0038
angles (deg): 60.00 60.00 60.00
Closest atoms and distances in Å follow each position.
Sites, in units of the cell vectors:
Nd 0.0000 0.0000 0.0000  4 Os 3.06, 4 Ga 3.06
Ho 0.5000 0.5000 0.5000  4 Ga 3.06, 4 Os 3.06
Ga 0.2500 0.2500 0.2500  4 Ho 3.06, 4 Nd 3.06
Os 0.7500 0.7500 0.7500  4 Ho 3.06, 4 Nd 3.06

Summary:
ΔH_f (0 K) = -0.263 eV per atom

=====

[2]
VASP calculation (PBE-GGA) on an optimized crystal structure of NdHoGaPb.

a b c (Å): 5.3408 5.3408 5.3408
angles (deg): 60.00 60.00 60.00
Closest atoms and distances in Å follow each position.
Sites, in units of the cell vectors:
Nd 0.0000 0.0000 0.0000  4 Pb 3.27, 4 Ga 3.27
Ho 0.5000 0.5000 0.5000  4 Pb 3.27, 4 Ga 3.27
Ga 0.2500 0.2500 0.2500  4 Ho 3.27, 4 Nd 3.27
Pb 0.7500 0.7500 0.7500  4 Ho 3.27, 4 Nd 3.27

Summary:
ΔH_f (0 K) = -0.435 eV per atom

=====

[3]
VASP calculation (PBE-GGA) on an optimized crystal structure of NdHoGaPd.

a b c (Å): 4.4694 5.9504 5.9504
angles (deg): 37.51 90.00 90.00
Closest atoms and distances in Å follow each position.
Sites, in units of the cell vectors:
Nd 0.0000 0.0000 0.0000  4 Ga 3.06, 3 Pd 3.12-3.16
Ho 0.5000 0.7142 0.7142  4 Pd 3.02, 3 Ga 3.05-3.26
Ga 0.5000 0.4252 0.4252  2 Pd 2.79, 2 Ho 3.05, 4 Nd 3.06
Pd 0.0000 0.2766 0.2766  2 Ga 2.79, 4 Ho 3.02, 1 Nd 3.12

Summary:
ΔH_f (0 K) = -0.697 eV per atom
Polymorph energy (0 for the lowest one) = 0.0 meV per atom

=====

Q: Look up the ΔH_f (0 K) of the second one.
A: -0.435 eV per atom

=====

Q: Which value of ΔH_f (0 K) does entry 3 give?
A: -0.697 eV per atom

=====

Q: Which of these has the lowest ΔH_f (0 K)?
A: NdHoGaPd